Arrangement 1

Entry from Alexandria: a geometry-optimized LiVTc3 structure (PBE).

The space group is Pm-3m (No. 221) and the conventional cell measures 4.1072, 4.1072 and 4.1072 Å, with angles of 90.00, 90.00 and 90.00 degrees. Symmetry generates all atoms from Li at (0.0000, 0.0000, 0.0000), V at (0.5000, 0.5000, 0.5000) and Tc at (0.0000, 0.0000, 0.5000).

---

Arrangement 2

Entry from Alexandria: a geometry-optimized LiVTc3 structure (PBE).

The space group is Pm-3m (No. 221) and the conventional cell measures 4.4973, 4.4973 and 4.4973 Å, with angles of 90.00, 90.00 and 90.00 degrees. Symmetry generates all atoms from Li at (0.0000, 0.0000, 0.0000), V at (0.5000, 0.5000, 0.5000) and Tc at (0.0000, 0.5000, 0.5000).

---

Stability comparison, relative energies in meV per atom: arrangement 1 0; arrangement 2 109

---

Arrangement 1

Entry from Alexandria: a geometry-optimized LiTcW2 structure (PBE).

The space group is Pm (No. 6) and the conventional cell measures 2.6492, 4.3751 and 5.2387 Å, with angles of 90.00, 99.43 and 90.00 degrees. Symmetry generates all atoms from Li at (0.0000, 0.0000, 0.0000), Tc at (0.7642, 0.5000, 0.2424), W at (0.2707, 0.5000, 0.7550) and W at (0.5428, 0.0000, 0.4898).

---

Arrangement 2

Entry from Alexandria: a geometry-optimized LiTcW2 structure (PBE).

The space group is Imm2 (No. 44) and the conventional cell measures 3.0875, 4.4457 and 8.7177 Å, with angles of 90.00, 90.00 and 90.00 degrees. Symmetry generates all atoms from Li at (0.0000, 0.0000, 0.0000), Tc at (0.0000, 0.5000, 0.7524), W at (0.0000, 0.0000, 0.4900) and W at (0.0000, 0.5000, 0.2371).

---

Stability comparison, relative energies in meV per atom: arrangement 1 0; arrangement 2 71

---

Arrangement 1

Entry from Alexandria: a geometry-optimized LiTc2W structure (PBE).

The space group is P4mm (No. 99) and the conventional cell measures 3.1738, 3.1738 and 5.5947 Å, with angles of 90.00, 90.00 and 90.00 degrees. Symmetry generates all atoms from Li at (0.0000, 0.0000, 0.0000), Tc at (0.0000, 0.0000, 0.4977), Tc at (0.5000, 0.5000, 0.2106) and W at (0.5000, 0.5000, 0.7575).

---

Arrangement 2

Entry from Alexandria: a geometry-optimized LiTc2W structure (PBE).

The space group is Cm (No. 8) and the conventional cell measures 8.9061, 2.6614 and 4.9394 Å, with angles of 90.00, 93.98 and 90.00 degrees. Symmetry generates all atoms from Li at (0.0000, 0.0000, 0.0000), Tc at (0.0015, 0.5000, 0.5065), Tc at (0.2505, 0.0000, 0.7565) and W at (0.2509, 0.5000, 0.2456).

---

Arrangement 3

Entry from Alexandria: a geometry-optimized LiTc2W structure (PBE).

The space group is R-3m (No. 166, hexagonal axes) and the conventional cell measures 2.7985, 2.7985 and 27.1921 Å, with angles of 90.00, 90.00 and 120.00 degrees. Symmetry generates all atoms from Li at (0.0000, 0.0000, 0.0000), Tc at (0.0000, 0.0000, 0.2469) and W at (0.0000, 0.0000, 0.5000).

---

Stability comparison, relative energies in meV per atom: arrangement 1 66; arrangement 2 55; arrangement 3 0

---

Arrangement 1

Entry from Alexandria: a geometry-optimized LiTc2W structure (PBE).

The space group is Cmm2 (No. 35) and the conventional cell measures 2.9746, 4.4247 and 9.2686 Å, with angles of 90.00, 90.00 and 90.00 degrees. Symmetry generates all atoms from Li at (0.0000, 0.0000, 0.0000), Tc at (0.0000, 0.0000, 0.4902), Tc at (0.0000, 0.5000, 0.2517) and W at (0.0000, 0.5000, 0.7345).

---

Arrangement 2

Entry from Alexandria: a geometry-optimized LiTc2W structure (PBE).

The space group is P4/mmm (No. 123) and the conventional cell measures 3.1630, 3.1630 and 5.6407 Å, with angles of 90.00, 90.00 and 90.00 degrees. Symmetry generates all atoms from Li at (0.0000, 0.0000, 0.0000), Tc at (0.5000, 0.5000, 0.2324) and W at (0.0000, 0.0000, 0.5000).

---

Arrangement 3

Entry from Alexandria: a geometry-optimized LiTc2W structure (PBE).

The space group is Imm2 (No. 44) and the conventional cell measures 3.0606, 4.3308 and 8.7496 Å, with angles of 90.00, 90.00 and 90.00 degrees. Symmetry generates all atoms from Li at (0.0000, 0.0000, 0.0000), Tc at (0.0000, 0.0000, 0.4964), Tc at (0.0000, 0.5000, 0.7560) and W at (0.0000, 0.5000, 0.2351).

---

Stability comparison, relative energies in meV per atom: arrangement 1 84; arrangement 2 0; arrangement 3 6

---

Arrangement 1

Entry from Alexandria: a geometry-optimized LiTc2W structure (PBE).

The space group is Pmm2 (No. 25) and the conventional cell measures 2.6734, 4.1409 and 5.2166 Å, with angles of 90.00, 90.00 and 90.00 degrees. Symmetry generates all atoms from Li at (0.0000, 0.0000, 0.0000), Tc at (0.0000, 0.0000, 0.4913), Tc at (0.5000, 0.5000, 0.2449) and W at (0.5000, 0.5000, 0.7518).

---

Arrangement 2

Entry from Alexandria: a geometry-optimized LiTc2W structure (PBE).

The space group is P2/m (No. 10) and the conventional cell measures 2.6390, 4.2689 and 5.1969 Å, with angles of 90.00, 97.59 and 90.00 degrees. Symmetry generates all atoms from Li at (0.0000, 0.0000, 0.0000), Tc at (0.2731, 0.5000, 0.7610) and W at (0.5000, 0.0000, 0.5000).

---

Arrangement 3

Entry from Alexandria: a geometry-optimized LiTc2W structure (PBE).

The space group is C2/m (No. 12) and the conventional cell measures 5.4492, 8.6655 and 2.6303 Å, with angles of 90.00, 110.77 and 90.00 degrees. Symmetry generates all atoms from Li at (0.0000, 0.0000, 0.0000), Tc at (0.2500, 0.2500, 0.5000) and W at (0.0000, 0.5000, 0.0000).

---

Arrangement 4

Entry from Alexandria: a geometry-optimized LiTc2W structure (PBE).

The space group is Pm (No. 6) and the conventional cell measures 2.6233, 4.3570 and 5.1516 Å, with angles of 90.00, 100.25 and 90.00 degrees. Symmetry generates all atoms from Li at (0.0000, 0.0000, 0.0000), Tc at (0.5193, 0.0000, 0.4938), Tc at (0.7451, 0.5000, 0.2346) and W at (0.2746, 0.5000, 0.7512).

---

Stability comparison, relative energies in meV per atom: arrangement 1 112; arrangement 2 0; arrangement 3 65; arrangement 4 37

---

Arrangement 1

Entry from Alexandria: a geometry-optimized LiTc2W structure (PBE).

The space group is I-4m2 (No. 119) and the conventional cell measures 3.8183, 3.8183 and 7.8560 Å, with angles of 90.00, 90.00 and 90.00 degrees. Symmetry generates all atoms from Li at (0.0000, 0.0000, 0.0000), Tc at (0.0000, 0.0000, 0.5000), Tc at (0.0000, 0.5000, 0.7500) and W at (0.0000, 0.5000, 0.2500).

---

Arrangement 2

Entry from Alexandria: a geometry-optimized LiTc2W structure (PBE).

The space group is Cmmm (No. 65) and the conventional cell measures 3.0733, 4.3880 and 8.9733 Å, with angles of 90.00, 90.00 and 90.00 degrees. Symmetry generates all atoms from Li at (0.0000, 0.0000, 0.0000), Tc at (0.0000, 0.5000, 0.2554) and W at (0.0000, 0.0000, 0.5000).

---

Stability comparison, relative energies in meV per atom: arrangement 1 154; arrangement 2 0

---

Arrangement 1

Entry from Alexandria: a geometry-optimized LiTc2W structure (PBE).

The space group is Fm-3m (No. 225) and the conventional cell measures 6.1065, 6.1065 and 6.1065 Å, with angles of 90.00, 90.00 and 90.00 degrees. Symmetry generates all atoms from Li at (0.0000, 0.0000, 0.0000), Tc at (0.2500, 0.2500, 0.2500) and W at (0.0000, 0.0000, 0.5000).

---

Arrangement 2

Entry from Alexandria: a geometry-optimized LiTc2W structure (PBE).

The space group is R3m (No. 160, hexagonal axes) and the conventional cell measures 2.7512, 2.7512 and 28.1002 Å, with angles of 90.00, 90.00 and 120.00 degrees. Symmetry generates all atoms from Li at (0.0000, 0.0000, 0.0000), Tc at (0.0000, 0.0000, 0.4935), Tc at (0.0000, 0.0000, 0.7521) and W at (0.0000, 0.0000, 0.2446).

---

Stability comparison, relative energies in meV per atom: arrangement 1 0; arrangement 2 84